Material: TaTi2Pb
Method: DFT, PBE
State: optimized geometry

## Properties
* electronic total energy: -31.553 eV per cell
* formation energy from the elements: -0.050 eV/atom
* symmetry: No. 123
* total moment: 0.00 μB/f.u.

Cell lengths 3.4532, 3.4532, 6.3422 Å; angles 90.00, 90.00, 90.00 degrees
Closest atoms and distances in Å follow each position.
Sites, in units of the cell vectors:
Ta 0.0000 0.0000 0.0000  8 Ti 2.84, 2 Pb 3.17
Ti 0.5000 0.5000 0.2283  4 Ta 2.84, 1 Ti 2.90, 4 Pb 2.99
Ti 0.5000 0.5000 0.7717  4 Ta 2.84, 1 Ti 2.90, 4 Pb 2.99
Pb 0.0000 0.0000 0.5000  8 Ti 2.99, 2 Ta 3.17



Material: Ba4HgSe
Method: DFT, PBE
State: optimized geometry

## Properties
* electronic total energy: -10.950 eV per cell
* symmetry: No. 216
* total moment: 1.42 μB/f.u.
* formation energy without anion corrections: 0.527 eV/f.u.

Cell lengths 7.2386, 7.2386, 7.2386 Å; angles 60.00, 60.00, 60.00 degrees
Closest atoms and distances in Å follow each position.
Sites, in units of the cell vectors:
Ba 0.3760 0.3760 0.3760  6 Ba 3.59-3.65
Ba 0.3760 0.3760 0.8720  6 Ba 3.59-3.65
Ba 0.3760 0.8720 0.3760  6 Ba 3.59-3.65
Ba 0.8720 0.3760 0.3760  6 Ba 3.59-3.65
Hg 0.0000 0.0000 0.0000  12 Ba 4.25, 4 Se 4.43
Se 0.7500 0.7500 0.7500  12 Ba 4.24, 4 Hg 4.43



Q: Which of these has the highest total moment?
A: Ba4HgSe



Q: Which value of total moment does entry 1 give?
A: 0.00 μB/f.u.



Q: Number 2 is which compound?
A: Ba4HgSe



Q: Which formula does entry 2 have?
A: Ba4HgSe